Crystalline Zr2GeW2 at its relaxed geometry, computed with GGA-PBE.

Output
The formation enthalpy at 0 K is 372 meV/atom. As for the total DFT energy (no corrections): -9.152 eV per atom. The energy above the most stable polymorph in this dataset comes out at 0 meV per atom.

a b c (Å): 3.5765 3.5765 8.5374
angles (deg): 77.91 77.91 90.00
Sites, in units of the cell vectors:
Ge 0.0000 0.0000 0.0000
Zr 0.4005 0.4005 0.1990
Zr 0.5995 0.5995 0.8010
W 0.7500 0.2500 0.5000
W 0.2500 0.7500 0.5000